## 1
Co3PbC GGA-PBE optimized geometry; space group = Pm-3m (221); density of states at the Fermi level = 2.940 states/eV/atom
1.0
-1.7378 -1.5463 -4.2854
0.3502 -4.6184 1.5244
-4.5424 0.2355 1.7570
Pb C Co
1 1 3
Direct
0.0000 0.0000 0.0000 Pb
0.5000 0.5000 0.5000 C
0.0000 0.5000 0.0000 Co
0.0000 0.0000 0.5000 Co
0.5000 0.0000 0.0000 Co

=====

## 2
Co3PbC GGA-PBE optimized geometry; space group = Pm-3m (221); density of states at the Fermi level = 1.083 states/eV/atom
1.0
3.9038 0.0000 0.0000
0.0000 3.9038 0.0000
0.0000 0.0000 3.9038
C Co Pb
1 3 1
Direct
0.0000 0.0000 0.0000 C
0.0000 0.5000 0.0000 Co
0.5000 0.0000 0.0000 Co
0.0000 0.0000 0.5000 Co
0.5000 0.5000 0.5000 Pb

=====

Which of them is least stable? Easy: 1.

=====

## 1
CoPb3C GGA-PBE optimized geometry; space group = Pm-3m (221); density of states at the Fermi level = 0.487 states/eV/atom
1.0
-3.0769 -0.6801 -3.9041
-3.2739 -2.3488 2.9894
-2.2330 4.3809 0.9966
Pb C Co
3 1 1
Direct
0.0000 0.5000 0.0000 Pb
0.5000 0.0000 0.0000 Pb
0.0000 0.0000 0.5000 Pb
0.5000 0.5000 0.5000 C
0.0000 0.0000 0.0000 Co

=====

## 2
CoPb3C GGA-PBE optimized geometry; space group = Pm-3m (221); density of states at the Fermi level = 0.940 states/eV/atom
1.0
-3.3727 -0.4606 3.5849
-0.9460 -4.6199 -1.4836
3.4884 -1.6982 3.0637
Pb Co C
3 1 1
Direct
0.5000 0.0000 0.0000 Pb
0.0000 0.0000 0.5000 Pb
0.0000 0.5000 0.0000 Pb
0.5000 0.5000 0.5000 Co
0.0000 0.0000 0.0000 C

=====

Which of them is least stable? Easy: 2.

=====

## 1
CoPd3C GGA-PBE optimized geometry; space group = Pm-3m (221); density of states at the Fermi level = 1.304 states/eV/atom
1.0
-2.0055 -3.7613 1.5731
-0.6666 -1.4271 -4.2618
4.0221 -2.1119 0.0781
Pd Co C
3 1 1
Direct
0.0000 0.0000 0.5000 Pd
0.5000 0.0000 0.0000 Pd
0.0000 0.5000 0.0000 Pd
0.0000 0.0000 0.0000 Co
0.5000 0.5000 0.5000 C

=====

## 2
CoPd3C GGA-PBE optimized geometry; space group = Pm-3m (221); density of states at the Fermi level = 1.945 states/eV/atom
1.0
-2.1668 3.4861 -0.2691
-1.9507 -0.9425 3.4967
2.9018 1.9696 2.1496
Pd C Co
3 1 1
Direct
0.0000 0.0000 0.5000 Pd
0.5000 0.0000 0.0000 Pd
0.0000 0.5000 0.0000 Pd
0.0000 0.0000 0.0000 C
0.5000 0.5000 0.5000 Co

=====

Which of them is least stable? Easy: 1.

=====

## 1
CoPdC2 GGA-PBE optimized geometry; space group = Fm-3m (225); density of states at the Fermi level = 0.856 states/eV/atom
1.0
0.0000 2.6555 2.6555
2.6555 0.0000 2.6555
2.6555 2.6555 0.0000
C Co Pd
2 1 1
Direct
0.2500 0.2500 0.2500 C
0.7500 0.7500 0.7500 C
0.0000 0.0000 0.0000 Co
0.5000 0.5000 0.5000 Pd

=====

## 2
CoPdC2 GGA-PBE optimized geometry; space group = I-42d (122); density of states at the Fermi level = 0.530 states/eV/atom
1.0
4.5272 0.0000 0.0000
0.0000 4.5272 0.0000
2.2636 2.2636 4.4284
Co C Pd
2 4 2
Direct
0.5000 0.5000 0.0000 Co
0.2500 0.7500 0.5000 Co
0.8750 0.8315 0.7500 C
0.3750 0.4185 0.7500 C
0.1685 0.6250 0.2500 C
0.5815 0.1250 0.2500 C
0.0000 0.0000 0.0000 Pd
0.7500 0.2500 0.5000 Pd

=====

Which of them is least stable? Easy: 1.

=====

## 1
PmCoC GGA-PBE optimized geometry; space group = P4_2/mmc (131); density of states at the Fermi level = 0.640 states/eV/atom
1.0
3.6486 0.0000 0.0000
0.0000 3.6486 0.0000
0.0000 0.0000 7.3170
Co C Pm
2 2 2
Direct
0.5000 0.5000 0.0000 Co
0.5000 0.5000 0.5000 Co
0.5000 0.0000 0.5000 C
0.0000 0.5000 0.0000 C
0.0000 0.0000 0.2500 Pm
0.0000 0.0000 0.7500 Pm

=====

## 2
PmCoC GGA-PBE optimized geometry; space group = P-6m2 (187); density of states at the Fermi level = 0.907 states/eV/atom
1.0
4.1661 0.0000 0.0000
0.0000 3.4557 0.0000
0.0000 -1.7278 2.9927
Pm C Co
1 1 1
Direct
0.6669 0.6667 0.3333 Pm
0.1661 0.0000 0.0000 C
0.1669 0.3333 0.6667 Co

=====

Which of them is least stable? Easy: 2.

=====

## 1
PmCo3C GGA-PBE optimized geometry; space group = Imma (74); density of states at the Fermi level = 1.324 states/eV/atom
1.0
-1.6655 -2.2056 4.1672
-1.8943 -5.3913 -0.6105
3.5323 -3.8675 2.3649
C Co Pm
2 6 2
Direct
0.9419 0.8081 0.3081 C
0.0581 0.1919 0.6919 C
0.1426 0.4210 0.2939 Co
0.0000 0.0000 0.5000 Co
0.8574 0.5790 0.7061 Co
0.1426 0.7939 0.9210 Co
0.8574 0.2061 0.0790 Co
0.5000 0.0000 0.5000 Co
0.5000 0.0000 0.0000 Pm
0.5000 0.5000 0.5000 Pm

=====

## 2
PmCo3C GGA-PBE optimized geometry; space group = Pm-3m (221); density of states at the Fermi level = 0.550 states/eV/atom
1.0
3.9566 0.0000 0.0000
0.0000 3.9566 0.0000
0.0000 0.0000 3.9566
Co Pm C
3 1 1
Direct
0.5000 0.0000 0.0000 Co
0.0000 0.0000 0.5000 Co
0.0000 0.5000 0.0000 Co
0.5000 0.5000 0.5000 Pm
0.0000 0.0000 0.0000 C

=====

Which of them is least stable? Easy: 1.

=====

## 1
PrCoC GGA-PBE optimized geometry; space group = P4_2/mmc (131); density of states at the Fermi level = 0.640 states/eV/atom
1.0
3.6691 0.0000 0.0000
0.0000 3.6691 0.0000
0.0000 0.0000 7.5153
Pr Co C
2 2 2
Direct
0.0000 0.0000 0.2500 Pr
0.0000 0.0000 0.7500 Pr
0.5000 0.5000 0.0000 Co
0.5000 0.5000 0.5000 Co
0.5000 0.0000 0.5000 C
0.0000 0.5000 0.0000 C

=====

## 2
PrCoC GGA-PBE optimized geometry; space group = P-6m2 (187); density of states at the Fermi level = 0.753 states/eV/atom
1.0
4.3204 0.0000 0.0000
0.0000 3.4497 0.0000
0.0000 -1.7248 2.9875
Pr C Co
1 1 1
Direct
0.6668 0.6667 0.3333 Pr
0.1664 0.0000 0.0000 C
0.1668 0.3333 0.6667 Co

=====

## 3
PrCoC GGA-PBE optimized geometry; space group = Imma (74); density of states at the Fermi level = 0.776 states/eV/atom
1.0
5.8539 0.0018 0.0010
2.9264 4.5010 0.5366
2.9267 1.5203 4.2703
C Co Pr
2 2 2
Direct
0.9608 0.2678 0.9548 C
0.4607 0.2678 0.9548 C
0.7108 0.4764 0.7462 Co
0.2107 0.0592 0.1634 Co
0.4608 0.2678 0.4548 Pr
0.9608 0.7678 0.9548 Pr

=====

Which of them is least stable? Easy: 2.

=====

## 1
Pr2CoC GGA-PBE optimized geometry; space group = Pmmn (59); density of states at the Fermi level = 0.672 states/eV/atom
1.0
-1.3984 3.3718 0.4866
-1.0436 -1.1767 5.1550
8.8484 4.0890 -2.9060
Pr C Co
4 2 2
Direct
0.2500 0.8742 0.6242 Pr
0.7500 0.3037 0.0537 Pr
0.7500 0.1258 0.3758 Pr
0.2500 0.6963 0.9463 Pr
0.7500 0.5970 0.3470 C
0.2500 0.4030 0.6530 C
0.7500 0.4330 0.6832 Co
0.2500 0.5670 0.3168 Co

=====

## 2
Pr2CoC GGA-PBE optimized geometry; space group = C2/c (15); density of states at the Fermi level = 1.186 states/eV/atom
1.0
3.5194 0.0000 -0.9732
-0.5160 7.2361 -1.8660
0.1612 -0.0033 7.4333
Pr Co C
4 2 2
Direct
0.8765 0.9378 0.7502 Pr
0.1263 0.5622 0.2498 Pr
0.8737 0.4378 0.7502 Pr
0.1235 0.0622 0.2498 Pr
0.4990 0.2500 0.0000 Co
0.5010 0.7500 0.0000 Co
0.0011 0.7500 0.0000 C
0.9989 0.2500 0.0000 C

=====

Which of them is least stable? Easy: 1.

=====

## 1
CoPtC2 GGA-PBE optimized geometry; space group = Fm-3m (225); density of states at the Fermi level = 0.733 states/eV/atom
1.0
0.0000 2.6700 2.6700
2.6700 0.0000 2.6700
2.6700 2.6700 0.0000
Pt C Co
1 2 1
Direct
0.5000 0.5000 0.5000 Pt
0.7500 0.7500 0.7500 C
0.2500 0.2500 0.2500 C
0.0000 0.0000 0.0000 Co

=====

## 2
CoPtC2 GGA-PBE optimized geometry; space group = I-42d (122); density of states at the Fermi level = 0.476 states/eV/atom
1.0
4.5152 0.0000 0.0000
0.0000 4.5152 0.0000
2.2576 2.2576 4.4706
C Co Pt
4 2 2
Direct
0.3750 0.4076 0.7500 C
0.5924 0.1250 0.2500 C
0.8750 0.8424 0.7500 C
0.1576 0.6250 0.2500 C
0.2500 0.7500 0.5000 Co
0.5000 0.5000 0.0000 Co
0.0000 0.0000 0.0000 Pt
0.7500 0.2500 0.5000 Pt

=====

Which of them is least stable? Easy: 1.

=====

## 1
CoPtC3 GGA-PBE optimized geometry; space group = Pm-3m (221); density of states at the Fermi level = 0.692 states/eV/atom
1.0
3.7325 0.0000 0.0000
0.0000 3.7325 0.0000
0.0000 0.0000 3.7325
C Pt Co
3 1 1
Direct
0.0000 0.5000 0.0000 C
0.0000 0.0000 0.5000 C
0.5000 0.0000 0.0000 C
0.5000 0.5000 0.5000 Pt
0.0000 0.0000 0.0000 Co

=====

## 2
CoPtC3 GGA-PBE optimized geometry; space group = Pm-3m (221); density of states at the Fermi level = 0.814 states/eV/atom
1.0
-2.1582 -0.0265 -3.3245
1.2178 -3.6944 -0.7611
-3.0936 -1.4359 2.0198
C Pt Co
3 1 1
Direct
0.0000 0.0000 0.5000 C
0.0000 0.5000 0.0000 C
0.5000 0.0000 0.0000 C
0.0000 0.0000 0.0000 Pt
0.5000 0.5000 0.5000 Co

=====

Which of them is least stable? Easy: 2.

=====

## 1
CoPt3C GGA-PBE optimized geometry; space group = Pm-3m (221); density of states at the Fermi level = 1.671 states/eV/atom
1.0
4.1454 0.0000 0.0000
0.0000 4.1454 0.0000
0.0000 0.0000 4.1454
Co Pt C
1 3 1
Direct
0.5000 0.5000 0.5000 Co
0.0000 0.0000 0.5000 Pt
0.0000 0.5000 0.0000 Pt
0.5000 0.0000 0.0000 Pt
0.0000 0.0000 0.0000 C

=====

## 2
CoPt3C GGA-PBE optimized geometry; space group = Pm-3m (221); density of states at the Fermi level = 1.164 states/eV/atom
1.0
4.5401 0.0000 0.0000
0.0000 4.5401 0.0000
0.0000 0.0000 4.5401
Pt C Co
3 1 1
Direct
0.5000 0.0000 0.0000 Pt
0.0000 0.5000 0.0000 Pt
0.0000 0.0000 0.5000 Pt
0.5000 0.5000 0.5000 C
0.0000 0.0000 0.0000 Co

=====

Which of them is least stable? Easy: 2.

=====

## 1
RbCoC2 GGA-PBE optimized geometry; space group = Fm-3m (225); density of states at the Fermi level = 0.589 states/eV/atom
1.0
0.0000 2.9937 2.9937
2.9937 0.0000 2.9937
2.9937 2.9937 0.0000
C Rb Co
2 1 1
Direct
0.7500 0.7500 0.7500 C
0.2500 0.2500 0.2500 C
0.5000 0.5000 0.5000 Rb
0.0000 0.0000 0.0000 Co

=====

## 2
RbCoC2 GGA-PBE optimized geometry; space group = I4_1/amd (141); density of states at the Fermi level = 0.000 states/eV/atom
1.0
-4.1099 -1.9970 3.4855
3.9228 -3.0692 2.8670
0.5196 0.6061 5.6979
Rb C Co
2 4 2
Direct
0.0000 0.0000 0.0000 Rb
0.7500 0.2500 0.5000 Rb
0.3750 0.1250 0.2500 C
0.3750 0.6250 0.7500 C
0.3750 0.6250 0.2500 C
0.8750 0.6250 0.7500 C
0.2500 0.7500 0.5000 Co
0.5000 0.5000 0.0000 Co

=====

Which of them is least stable? Easy: 1.